Entry 1:
Below is a relaxed Er12Sc6Tl crystal, with properties calculated at the GGA-PBE level.

Cell lengths 8.191, 8.191, 8.191 Å; angles 88.22, 88.22, 88.22 degrees
Sites, in units of the cell vectors:
Er 0.566 0.212 0.460
Er 0.212 0.460 0.566
Er 0.631 0.991 0.828
Er 0.369 0.009 0.172
Er 0.788 0.540 0.434
Er 0.991 0.828 0.631
Er 0.172 0.369 0.009
Er 0.434 0.788 0.540
Er 0.009 0.172 0.369
Er 0.828 0.631 0.991
Er 0.460 0.566 0.212
Er 0.540 0.434 0.788
Sc 0.256 0.099 0.720
Sc 0.744 0.901 0.280
Sc 0.280 0.744 0.901
Sc 0.720 0.256 0.099
Sc 0.901 0.280 0.744
Sc 0.099 0.720 0.256
Tl 0.000 0.000 0.000

Values from the calculation:
As for the size of the total moment: 0.004 μB/f.u. As for the formation energy: 90.8 meV per atom.



Entry 2:
Below is a relaxed GeB2Ir3 crystal, with properties calculated at the GGA-PBE level.

Cell lengths 2.911, 6.821, 8.510 Å; angles 97.72, 90.00, 90.00 degrees
Sites, in units of the cell vectors:
Ir 0.250 0.176 0.351
Ir 0.750 0.816 0.974
Ir 0.750 0.779 0.301
Ir 0.750 0.824 0.649
Ir 0.250 0.221 0.699
Ir 0.250 0.184 0.026
Ge 0.750 0.426 0.211
Ge 0.250 0.574 0.789
B 0.750 0.069 0.846
B 0.750 0.214 0.523
B 0.250 0.786 0.477
B 0.250 0.931 0.154

Values from the calculation:
As for the size of the total moment: 0.000 μB/f.u. As for the formation energy: -138.6 meV per atom.



Entry 3:
Below is a relaxed Li2SnBPO7 crystal, with properties calculated at the GGA-PBE level.

Cell lengths 6.495, 5.170, 9.460 Å; angles 86.90, 90.00, 90.00 degrees
Sites, in units of the cell vectors:
O 0.250 0.020 0.857
O 0.750 0.980 0.143
O 0.250 0.859 0.573
O 0.250 0.429 0.466
O 0.936 0.195 0.664
O 0.250 0.281 0.067
O 0.436 0.805 0.336
O 0.750 0.141 0.427
O 0.564 0.195 0.664
O 0.750 0.571 0.534
O 0.750 0.528 0.176
O 0.250 0.472 0.824
O 0.064 0.805 0.336
O 0.750 0.719 0.933
P 0.750 0.273 0.570
P 0.250 0.727 0.430
Li 0.025 0.748 0.849
Li 0.525 0.252 0.151
Li 0.475 0.748 0.849
Li 0.975 0.252 0.151
B 0.250 0.257 0.928
B 0.750 0.743 0.072
Sn 0.250 0.221 0.658
Sn 0.750 0.779 0.342

Values from the calculation:
As for the size of the total moment: 0.066 μB/f.u. The energy relative to the elements, uncorrected comes out at -2.104 eV per atom.



no.,density of states at the Fermi level (states/eV/f.u.)
1,32.49
2,1.92
3,0.00